Material: SrLa2NbI
Method: DFT, PBE-GGA
State: relaxed

Lattice parameters (Å, degrees): 5.469 5.469 6.555 90.00 90.00 90.00
Element x y z (fractional)
Sr: 0.000 0.000 0.000
La: 0.000 0.500 0.500
La: 0.500 0.000 0.500
Nb: 0.000 0.000 0.500
I: 0.500 0.500 0.000

Properties
Fermi-level density of states: 1.688 states/eV/atom
Calculated volume: 196 Å³ per cell
Total energy: -4.49 eV per atom
M_tot: 0.000 μB per cell
Formation energy (no corrections): 0.14 eV per atom